## HfTlReO6 (PBE)

Data for crystalline HfTlReO6 at its relaxed geometry. Values from VASP.

```
&SYSTEM
  ibrav = 0, nat = 9, ntyp = 4
/
ATOMIC_SPECIES
Re 186.21 Re.upf
O 16.00 O.upf
Hf 178.49 Hf.upf
Tl 204.38 Tl.upf
CELL_PARAMETERS angstrom
-0.9091 -3.4557 4.0571
2.8500 -4.5816 0.3379
4.1603 2.8347 3.3468
ATOMIC_POSITIONS angstrom
Re 2.7743 -1.2294 3.1762
O 4.5078 -0.8502 2.5703
O 3.4044 -1.8832 4.8169
O 0.8565 -1.2726 3.4719
O 2.5486 0.5012 3.8613
Hf 3.3002 -3.9912 4.5438
Tl -0.8749 -3.4323 4.0844
O 2.3781 -0.9398 1.2983
O 2.6596 -3.1310 2.8047
```

Output
Uncorrected formation energy in meV/atom: -2035.3
Total energy in eV per cell: -72.84
Crystal system: trigonal